[1]
! Ca2Pr3Sm | Alexandria via LeMat-Bulk | PBE-GGA | relaxed; values from VASP
&SYSTEM
  ibrav = 0, nat = 12, ntyp = 3
/
ATOMIC_SPECIES
Ca 40.08 Ca.upf
Pr 140.91 Pr.upf
Sm 150.36 Sm.upf
ATOMIC_POSITIONS angstrom
Ca 0.0000 0.0000 0.0000
Ca -1.8668 3.2334 0.0000
Ca 3.7336 0.0000 0.0000
Ca 1.8668 3.2334 0.0000
Pr 0.0000 2.1567 6.0900
Pr -1.8658 5.3884 6.0900
Pr 1.8677 1.0783 3.2035
Pr 1.8658 5.3884 6.0900
Pr 5.5994 1.0783 3.2035
Pr 3.7336 4.3101 3.2035
Sm 0.0000 4.3112 3.2041
Sm 3.7336 2.1556 6.0895
CELL_PARAMETERS angstrom
7.4672 0.0000 0.0000
-3.7336 6.4668 0.0000
0.0000 0.0000 9.2935
! - Volume: 448.8 Å³ per cell
! - Calculated formation energy: 0.2 eV/f.u.
! - Electronic total energy: -3.81 eV per atom

[2]
! CaPrSm | Alexandria via LeMat-Bulk | PBE-GGA | relaxed; values from VASP
&SYSTEM
  ibrav = 0, nat = 3, ntyp = 3
/
ATOMIC_SPECIES
Ca 40.08 Ca.upf
Pr 140.91 Pr.upf
Sm 150.36 Sm.upf
ATOMIC_POSITIONS angstrom
Ca 0.0000 0.0000 0.0000
Pr 0.0000 0.0000 10.7183
Sm 0.0000 0.0000 5.1811
CELL_PARAMETERS angstrom
-1.8686 1.8686 7.9252
1.8686 -1.8686 7.9252
1.8686 1.8686 -7.9252
! - Volume: 110.7 Å³ per cell
! - Calculated formation energy: 0.1 eV/f.u.
! - Electronic total energy: -3.80 eV per atom

[3]
! CaPr6Sm5 | Alexandria via LeMat-Bulk | PBE-GGA | relaxed; values from VASP
&SYSTEM
  ibrav = 0, nat = 12, ntyp = 3
/
ATOMIC_SPECIES
Ca 40.08 Ca.upf
Pr 140.91 Pr.upf
Sm 150.36 Sm.upf
ATOMIC_POSITIONS angstrom
Ca 0.0000 0.0000 0.0000
Pr 2.7994 1.8893 1.5909
Pr 2.2327 0.0000 4.6736
Pr 2.7994 -1.8893 1.5909
Pr 8.2534 1.8893 4.7033
Pr 8.8201 0.0000 1.6206
Pr 8.2534 -1.8893 4.7033
Sm 5.5264 3.6576 3.1471
Sm 6.0910 1.8018 0.0000
Sm 5.5264 0.0000 3.1471
Sm 6.0910 -1.8018 0.0000
Sm 5.5264 -3.6576 3.1471
CELL_PARAMETERS angstrom
6.0910 -5.5513 0.0000
6.0910 5.5513 0.0000
-1.1292 0.0000 6.2942
! - Volume: 425.7 Å³ per cell
! - Calculated formation energy: 0.3 eV/f.u.
! - Electronic total energy: -4.50 eV per atom

[4]
! CaPr2Sm7 | Alexandria via LeMat-Bulk | PBE-GGA | relaxed; values from VASP
&SYSTEM
  ibrav = 0, nat = 10, ntyp = 3
/
ATOMIC_SPECIES
Ca 40.08 Ca.upf
Pr 140.91 Pr.upf
Sm 150.36 Sm.upf
ATOMIC_POSITIONS angstrom
Ca 0.0000 0.0000 0.0000
Pr 4.4579 3.3336 2.8413
Pr 4.4579 -3.3336 2.8413
Sm 1.6169 1.8945 2.8413
Sm 4.4579 4.3598 0.0000
Sm 1.6169 -1.8945 2.8413
Sm 4.4579 0.0000 2.8413
Sm 7.2988 1.8945 2.8413
Sm 4.4579 -4.3598 0.0000
Sm 7.2988 -1.8945 2.8413
CELL_PARAMETERS angstrom
4.4579 -8.1655 0.0000
4.4579 8.1655 0.0000
0.0000 0.0000 5.6827
! - Volume: 413.7 Å³ per cell
! - Calculated formation energy: 6.1 eV/f.u.
! - Electronic total energy: -3.85 eV per atom

[5]
! CaPr6Sm | Alexandria via LeMat-Bulk | PBE-GGA | relaxed; values from VASP
&SYSTEM
  ibrav = 0, nat = 8, ntyp = 3
/
ATOMIC_SPECIES
Ca 40.08 Ca.upf
Pr 140.91 Pr.upf
Sm 150.36 Sm.upf
ATOMIC_POSITIONS angstrom
Ca 0.0000 0.0000 0.0000
Pr 0.0000 2.6293 2.6885
Pr 0.0000 2.6293 7.8118
Pr 2.6293 0.0000 2.6885
Pr 2.6293 0.0000 7.8118
Pr 2.6293 2.6293 0.0000
Pr 2.6293 2.6293 5.2502
Sm 0.0000 0.0000 5.2502
CELL_PARAMETERS angstrom
5.2586 0.0000 0.0000
0.0000 5.2586 0.0000
0.0000 0.0000 10.5004
! - Volume: 290.4 Å³ per cell
! - Calculated formation energy: 0.3 eV/f.u.
! - Electronic total energy: -4.39 eV per atom

[6]
! CaPrSm2 | Alexandria via LeMat-Bulk | PBE-GGA | relaxed; values from VASP
&SYSTEM
  ibrav = 0, nat = 4, ntyp = 3
/
ATOMIC_SPECIES
Ca 40.08 Ca.upf
Pr 140.91 Pr.upf
Sm 150.36 Sm.upf
ATOMIC_POSITIONS angstrom
Ca 0.0000 0.0000 0.0000
Pr 0.0000 0.0000 18.3501
Sm 0.0000 0.0000 9.0644
Sm 0.0000 0.0000 27.6358
CELL_PARAMETERS angstrom
1.8463 1.0660 12.2334
-1.8463 1.0660 12.2334
0.0000 -2.1320 12.2334
! - Volume: 144.5 Å³ per cell
! - Calculated formation energy: 0.2 eV/f.u.
! - Electronic total energy: -4.00 eV per atom